DFT (PBE) results for crystalline LiTl5 at its relaxed geometry.

abc: 8.708 8.708 3.687
angles: 90.00 90.00 143.11
Element x y z (fractional)
Li1 0.000 0.000 0.000
Tl1 0.145 0.855 0.500
Tl2 0.320 0.680 0.000
Tl3 0.500 0.500 0.500
Tl4 0.680 0.320 0.000
Tl5 0.855 0.145 0.500

Values from the calculation:
DOS at the Fermi energy, states/eV/f.u.: 2.3
Energy relative to the elements, eV per atom: -0.042
Total magnetic moment, μB per formula unit: 0.00
Calculated total energy, eV/atom: -2.33
Energy above the lowest structure with this stoichiometry, meV per atom: 20
Symmetry: Cmmm, No. 65
Crystal system: orthorhombic